Ti3TlF, optimized geometry, DFT PBE; total magnetization = 1.28 μB per formula unit; SG = Pm-3m, No. 221; energy relative to the lowest polymorph listed for this composition = 0 meV per atom; formation energy without anion corrections = -0.486 eV per atom; total DFT energy (no corrections) = -6.0708 eV/atom
1.0
4.3092 0.0000 0.0000
0.0000 4.3092 0.0000
0.0000 0.0000 4.3092
Ti F Tl
3 1 1
Direct
0.0000 0.5000 0.0000
0.0000 0.0000 0.5000
0.5000 0.0000 0.0000
0.0000 0.0000 0.0000
0.5000 0.5000 0.5000

***

TiTl3F, optimized geometry, DFT PBE; total magnetization = 3.61 μB per formula unit; SG = Pm-3m, No. 221; energy relative to the lowest polymorph listed for this composition = 197 meV per atom; formation energy without anion corrections = 0.096 eV per atom; total DFT energy (no corrections) = -3.2773 eV/atom
1.0
5.5503 0.0000 0.0000
0.0000 5.5503 0.0000
0.0000 0.0000 5.5503
F Tl Ti
1 3 1
Direct
0.5000 0.5000 0.5000
0.0000 0.0000 0.5000
0.5000 0.0000 0.0000
0.0000 0.5000 0.0000
0.0000 0.0000 0.0000

***

TiTl3F8, optimized geometry, DFT PBE; total magnetization = 0.00 μB per formula unit; SG = I-42m, No. 121; formation energy without anion corrections = -2.352 eV per atom; total DFT energy (no corrections) = -4.8487 eV/atom
1.0
-1.3131 5.3107 2.8760
-1.9338 -5.8629 3.3021
3.5136 -1.7221 4.7841
Tl F Ti
3 8 1
Direct
0.7500 0.5000 0.7500
0.2500 0.5000 0.2500
0.5000 0.0000 0.5000
0.0128 0.3373 0.6756
0.1451 0.8846 0.2606
0.8549 0.1154 0.1451
0.3244 0.3373 0.9872
0.9872 0.6627 0.0128
0.2606 0.1154 0.7394
0.7394 0.8846 0.8549
0.6756 0.6627 0.3244
0.0000 0.0000 0.0000

***

Ti2TlF8, optimized geometry, DFT PBE; total magnetization = 1.00 μB per formula unit; SG = C2/m, No. 12; formation energy without anion corrections = -3.060 eV per atom; total DFT energy (no corrections) = -6.0712 eV/atom
1.0
3.9468 0.1128 0.0965
0.8558 7.0579 1.7709
0.8558 2.8436 6.6981
F Tl Ti
8 1 2
Direct
0.5107 0.3543 0.9787
0.5107 0.9787 0.3543
0.9559 0.2787 0.2787
0.4893 0.0213 0.6457
0.4893 0.6457 0.0213
0.6978 0.5701 0.5701
0.0441 0.7213 0.7213
0.3022 0.4299 0.4299
0.0000 0.0000 0.0000
0.4542 0.2928 0.2928
0.5458 0.7072 0.7072

***

Ti2TlF11, optimized geometry, DFT PBE; total magnetization = 0.00 μB per formula unit; SG = Ibam, No. 72; formation energy without anion corrections = -2.809 eV per atom; total DFT energy (no corrections) = -5.5765 eV/atom
1.0
-3.9771 1.6777 6.0510
-0.4298 -5.4590 5.7962
3.8617 3.1272 6.2361
F Ti Tl
22 4 2
Direct
0.8707 0.9457 0.7940
0.1253 0.2198 0.7802
0.2474 0.5489 0.1740
0.9703 0.8260 0.4511
0.6293 0.7060 0.5543
0.1104 0.5543 0.7060
0.4703 0.9511 0.3260
0.7474 0.6740 0.0489
0.5000 0.5000 0.5000
0.1293 0.0543 0.2060
0.7526 0.4511 0.8260
0.3896 0.7940 0.9457
0.6253 0.2802 0.7198
0.6104 0.2060 0.0543
0.3747 0.7198 0.2802
0.5297 0.0489 0.6740
0.0297 0.1740 0.5489
0.8747 0.7802 0.2198
0.2526 0.3260 0.9511
0.3707 0.2940 0.4457
0.8896 0.4457 0.2940
0.0000 0.0000 0.0000
0.8676 0.1810 0.8190
0.6324 0.6810 0.3190
0.1324 0.8190 0.1810
0.3676 0.3190 0.6810
0.2500 0.2500 0.2500
0.7500 0.7500 0.7500

***

TiTlF5, optimized geometry, DFT PBE; total magnetization = 0.00 μB per formula unit; SG = C2/c, No. 15; formation energy without anion corrections = -2.999 eV per atom; total DFT energy (no corrections) = -5.8014 eV/atom
1.0
6.4794 0.2407 -2.4339
-3.2183 5.8850 -1.7245
-0.1000 -0.5904 6.9217
F Tl Ti
10 2 2
Direct
0.1898 0.2275 0.9635
0.2917 0.0417 0.2500
0.0012 0.7714 0.7717
0.7640 0.2263 0.5365
0.9988 0.2286 0.2283
0.8102 0.7725 0.0365
0.2360 0.7737 0.4635
0.7083 0.9583 0.7500
0.4997 0.2295 0.7283
0.5003 0.7705 0.2717
0.2582 0.5082 0.7500
0.7418 0.4918 0.2500
0.5000 0.0000 0.5000
0.0000 0.0000 0.0000

***

TiTl3F7, optimized geometry, DFT PBE; total magnetization = 0.00 μB per formula unit; SG = R3m, No. 160; formation energy without anion corrections = -2.606 eV per atom; total DFT energy (no corrections) = -5.1603 eV/atom
1.0
5.9783 1.0645 -0.4677
-0.5798 6.0446 -0.4677
0.8084 1.0645 5.9418
F Tl Ti
7 3 1
Direct
0.7135 0.7135 0.0418
0.0418 0.7135 0.7135
0.7135 0.0418 0.7135
0.1218 0.1218 0.7921
0.1218 0.7921 0.1218
0.2958 0.2958 0.2958
0.7921 0.1218 0.1218
0.4192 0.9118 0.4192
0.4192 0.4192 0.9118
0.9118 0.4192 0.4192
0.9181 0.9181 0.9181

***

TiTl2F5, optimized geometry, DFT PBE; total magnetization = 1.00 μB per formula unit; SG = P-1, No. 2; formation energy without anion corrections = -2.600 eV per atom; total DFT energy (no corrections) = -5.3477 eV/atom
1.0
-2.7849 0.8050 -6.2546
-0.6219 -7.1347 -2.8384
-0.4578 1.5724 6.7412
Ti Tl F
1 2 5
Direct
0.9096 0.9721 0.8817
0.9119 0.3068 0.5534
0.9073 0.6374 0.2102
0.1165 0.3070 0.3371
0.1239 0.0588 0.8481
0.7028 0.6372 0.4265
0.6952 0.8855 0.9153
0.4097 0.9722 0.3818

***

TiTl5F9, optimized geometry, DFT PBE; total magnetization = 0.00 μB per formula unit; SG = Pmc2_1, No. 26; formation energy without anion corrections = -2.381 eV per atom; total DFT energy (no corrections) = -4.8186 eV/atom
1.0
-5.6762 2.8404 -2.5529
-4.0976 -6.5348 1.8399
-2.3949 4.3698 10.1868
F Tl Ti
18 10 2
Direct
0.8742 0.0000 0.3995
0.1710 0.1728 0.3022
0.8209 0.1694 0.1973
0.8209 0.8306 0.1973
0.6710 0.8272 0.6978
0.0368 0.5000 0.7500
0.3209 0.8306 0.8027
0.8241 0.5000 0.4706
0.6894 0.5000 0.9808
0.1894 0.5000 0.0192
0.6710 0.1728 0.6978
0.6215 0.0000 0.8992
0.3241 0.5000 0.5294
0.3742 0.0000 0.6005
0.1215 0.0000 0.1008
0.5368 0.5000 0.2500
0.1710 0.8272 0.3022
0.3209 0.1694 0.8027
0.0341 0.7331 0.5787
0.9482 0.5000 0.2404
0.4482 0.5000 0.7596
0.5341 0.7331 0.4213
0.9572 0.2689 0.9167
0.4572 0.2689 0.0833
0.0341 0.2669 0.5787
0.9572 0.7311 0.9167
0.5341 0.2669 0.4213
0.4572 0.7311 0.0833
0.9989 0.0000 0.2502
0.4989 0.0000 0.7498

***

Ti2TlF7, optimized geometry, DFT PBE; total magnetization = 2.00 μB per formula unit; SG = Cmmm, No. 65; formation energy without anion corrections = -3.005 eV per atom; total DFT energy (no corrections) = -6.1308 eV/atom
1.0
-1.6328 -3.2263 1.7498
2.3181 -3.7392 -4.7313
3.3649 1.1085 5.1837
F Ti Tl
7 2 1
Direct
0.5000 0.0407 0.7018
0.0000 0.3067 0.6134
0.5000 0.9593 0.2982
0.5000 0.5000 0.0000
0.5000 0.3389 0.2982
0.0000 0.6933 0.3866
0.5000 0.6611 0.7018
0.5000 0.6904 0.3807
0.5000 0.3096 0.6193
0.0000 0.0000 0.0000

***

TiTl3F, optimized geometry, DFT PBE; total magnetization = 0.00 μB per formula unit; SG = Pm-3m, No. 221; energy relative to the lowest polymorph listed for this composition = 0 meV per atom; formation energy without anion corrections = -0.102 eV per atom; total DFT energy (no corrections) = -3.4747 eV/atom
1.0
4.9654 0.0000 0.0000
0.0000 4.9654 0.0000
0.0000 0.0000 4.9654
Tl F Ti
3 1 1
Direct
0.0000 0.5000 0.0000
0.0000 0.0000 0.5000
0.5000 0.0000 0.0000
0.0000 0.0000 0.0000
0.5000 0.5000 0.5000